(1)
Cu2NiPb | GGA-PBEsol | optimized geometry

The formation energy comes out at 0.2194 eV/atom. The density of states at the Fermi level is 6.2 states/eV/cell. The volume is 224.9 Å³ per cell.

The structure belongs to space group F-43m (No. 216); the cell edges are 6.082, 6.082 and 6.082 Å and the angles 90.00°, 90.00° and 90.00°. The distinct sites, in fractional coordinates, are Cu at (0.000, 0.000, 0.000), Cu at (0.250, 0.250, 0.250), Ni at (0.250, 0.250, 0.750) and Pb at (0.000, 0.000, 0.500).

(2)
Cu2NiPb | GGA-PBEsol | optimized geometry

The formation energy comes out at 0.2147 eV/atom. The density of states at the Fermi level is 3.2 states/eV/cell. The volume is 112.7 Å³ per cell.

The structure belongs to space group I4/mmm (No. 139); the cell edges are 3.739, 3.739 and 8.067 Å and the angles 90.00°, 90.00° and 90.00°. The distinct sites, in fractional coordinates, are Cu at (0.000, 0.500, 0.250), Ni at (0.000, 0.000, 0.000) and Pb at (0.000, 0.000, 0.500).

(3)
Cu2NiPb | GGA-PBEsol | optimized geometry

The formation energy comes out at 0.3013 eV/atom. The density of states at the Fermi level is 5.2 states/eV/cell. The volume is 177.9 Å³ per cell.

The structure belongs to space group R-3m (No. 166, hexagonal axes); the cell edges are 4.0684, 4.0684 and 12.4124 Å and the angles 90.00°, 90.00° and 120.00°. The distinct sites, in fractional coordinates, are Cu at (0.0000, 0.0000, 0.2197), Ni at (0.0000, 0.0000, 0.5000) and Pb at (0.0000, 0.0000, 0.0000).

(4)
CuNiPb2 | GGA-PBEsol | optimized geometry

The formation energy comes out at 0.2064 eV/atom. The density of states at the Fermi level is 8.0 states/eV/cell. The volume is 247.2 Å³ per cell.

The structure belongs to space group R3m (No. 160, hexagonal axes); the cell edges are 4.0396, 4.0396 and 17.4937 Å and the angles 90.00°, 90.00° and 120.00°. The distinct sites, in fractional coordinates, are Cu at (0.0000, 0.0000, 0.0000), Ni at (0.0000, 0.0000, 0.6858), Pb at (0.0000, 0.0000, 0.2472) and Pb at (0.0000, 0.0000, 0.4365).